No. 1
A plane-wave DFT calculation with PBE was carried out for a relaxed ZnNi2As crystal.

```
data_ZnNi2As
_cell_length_a 3.5794
_cell_length_b 3.5794
_cell_length_c 7.9601
_cell_angle_alpha 90.00
_cell_angle_beta 90.00
_cell_angle_gamma 90.00
_symmetry_space_group_name_H-M 'I -4 m 2'
_symmetry_Int_Tables_number 119
_symmetry_space_group_name_Hall 'I -4 -2'
loop_
_atom_site_label
_atom_site_type_symbol
_atom_site_fract_x
_atom_site_fract_y
_atom_site_fract_z
Zn1 Zn 0.0000 0.0000 0.0000
Ni1 Ni 0.0000 0.0000 0.5000
Ni2 Ni 0.0000 0.5000 0.2500
As1 As 0.0000 0.5000 0.7500
```

Its total energy is -4.491 eV per atom.



No. 2
A plane-wave DFT calculation with PBE was carried out for a relaxed Ca2TeS2 crystal.

```
data_Ca2TeS2
_cell_length_a 8.0152
_cell_length_b 8.0152
_cell_length_c 3.7431
_cell_angle_alpha 90.00
_cell_angle_beta 90.00
_cell_angle_gamma 90.00
_symmetry_space_group_name_H-M 'P 4/m b m'
_symmetry_Int_Tables_number 127
_symmetry_space_group_name_Hall '-P 4 2ab'
loop_
_atom_site_label
_atom_site_type_symbol
_atom_site_fract_x
_atom_site_fract_y
_atom_site_fract_z
Ca1 Ca 0.1615 0.3385 0.0000
Te1 Te 0.0000 0.0000 0.5000
S1 S 0.1472 0.6472 0.5000
```

The energy relative to the elements, uncorrected is -6.4 eV per formula unit.



Number 1: magnetic moment 0.00 μB/f.u.. Number 2: magnetic moment 0.00 μB/f.u..